Entry 1:
Tc2AuCl PBE relaxed; ΔE_f (raw) = 0.95 eV per atom; uncorrected energy = -5.51 eV per atom; DOS(E_F) = 5.3 states/eV per cell; energy above the lowest structure with this stoichiometry = 0.8642 eV/atom
1.0
-3.432 -3.880 1.598
4.706 0.271 2.676
-0.748 0.809 2.535
Cl Au Tc
1 1 2
Cartesian
1.979 0.540 2.606
-2.090 -1.536 2.066
0.000 0.000 0.000
0.637 -1.805 2.137

---

Entry 2:
Sr2LiH2N PBE relaxed; uncorrected energy = -3.90 eV per atom
1.0
-1.518 -2.869 -1.979
0.501 -4.303 5.854
-13.433 4.189 4.230
Li Sr H N
4 8 8 4
Cartesian
-4.144 -1.715 0.188
-9.972 0.701 4.806
-4.477 -3.684 3.298
-10.305 -1.268 7.917
-9.185 -0.221 1.889
-8.680 -2.364 4.607
-1.599 -1.831 2.055
-5.265 -2.762 6.215
-5.770 -0.619 3.497
-13.377 1.175 3.081
-12.851 -1.151 6.049
-1.072 -4.158 5.024
-6.865 -0.845 1.013
-10.475 -2.799 6.615
-11.342 -0.455 3.882
-1.762 -4.510 2.412
-3.975 -0.184 1.490
-12.688 1.527 5.692
-3.108 -2.528 4.222
-7.585 -2.138 7.091
-12.100 -0.677 8.436
-8.185 0.176 4.197
-2.350 -2.306 -0.331
-6.264 -3.159 3.907

---

Entry 3:
MnReSe2Br PBE relaxed; ΔE_f (raw) = 0.63 eV per atom; uncorrected energy = -5.42 eV per atom; DOS(E_F) = 2.7 states/eV per cell; energy above the lowest structure with this stoichiometry = 0.0000 eV/atom
1.0
-3.306 2.691 -2.264
-1.327 -3.832 -2.618
-3.636 -1.306 3.756
Se Br Mn Re
2 1 1 1
Cartesian
-1.653 1.346 -1.132
-0.664 -1.916 -1.309
-1.818 -0.653 1.878
-4.134 -1.223 -0.563
0.000 0.000 0.000

---

Entry 4:
BaCa2Cl PBE relaxed; ΔE_f (raw) = -0.53 eV per atom; uncorrected energy = -2.47 eV per atom; DOS(E_F) = 4.0 states/eV per cell; energy above the lowest structure with this stoichiometry = 0.2350 eV/atom
1.0
7.633 0.000 0.000
0.000 4.784 0.000
0.000 0.000 4.784
Ca Cl Ba
2 1 1
Cartesian
0.000 0.000 0.000
0.000 2.392 2.392
3.816 2.392 0.000
3.816 0.000 2.392

---

Entry 5:
CaPmEuHo PBE relaxed; uncorrected energy = -5.27 eV per atom; formation energy from the elements = 136 meV per atom; DOS(E_F) = 5.3 states/eV per cell
1.0
5.896 0.000 0.000
2.948 5.106 0.000
2.948 1.702 4.814
Ca Ho Pm Eu
1 1 1 1
Cartesian
2.948 1.702 1.203
8.844 5.106 3.610
5.896 3.404 2.407
0.000 0.000 0.000

---

Entry 6:
Sr3LiRh PBE relaxed; uncorrected energy = -3.01 eV per atom; formation energy from the elements = -147 meV per atom; DOS(E_F) = 8.4 states/eV per cell; energy above the lowest structure with this stoichiometry = 0.0000 eV/atom
1.0
7.089 0.000 0.209
0.000 9.720 0.000
-2.650 0.000 5.298
Sr Rh Li
6 2 2
Cartesian
2.836 2.430 3.063
-0.658 0.503 4.632
5.097 9.217 0.874
5.097 5.363 0.874
-0.658 4.357 4.632
1.603 7.290 2.444
4.158 2.430 0.413
0.281 7.290 5.094
-0.629 2.430 1.339
5.068 7.290 4.168